InNiF | PBE with a Hubbard U | optimized geometry

polymorph energy (0 for the lowest one)	0.00	eV/f.u.
DFT total energy	-8.89	eV per formula unit
total moment	0.26	μB per formula unit

Geometry as CIF:
```
data_InNiF
_chemical_formula_sum 'In2 Ni2 F2'
_space_group_name_H-M_alt 'P 4/n m m'
_space_group_IT_number 129
_cell_length_a 3.6286
_cell_length_b 3.6286
_cell_length_c 6.9598
_cell_angle_alpha 90.00
_cell_angle_beta 90.00
_cell_angle_gamma 90.00
loop_
_space_group_symop_operation_xyz
'x,y,z'
'-x,-y,-z'
'-y+1/2,x,z'
'y+1/2,-x,-z'
'-x+1/2,-y+1/2,z'
'x+1/2,y+1/2,-z'
'y,-x+1/2,z'
'-y,x+1/2,-z'
'x+1/2,-y,-z'
'-x+1/2,y,z'
'-y,-x,-z'
'y,x,z'
'-x,y+1/2,-z'
'x,-y+1/2,z'
'y+1/2,x+1/2,-z'
'-y+1/2,-x+1/2,z'
loop_
_atom_site_label
_atom_site_type_symbol
_atom_site_fract_x
_atom_site_fract_y
_atom_site_fract_z
In1 In 0.2500 0.2500 0.2247
Ni1 Ni 0.2500 0.7500 0.5000
F1 F 0.2500 0.7500 0.0000
```